# GaSbTe2Ru (PBEsol, optimized geometry)
data_GaSbTe2Ru
_chemical_formula_sum 'Ga1 Sb1 Te2 Ru1'
_space_group_name_H-M_alt 'P 1'
_space_group_IT_number 1
_cell_length_a 4.914
_cell_length_b 5.296
_cell_length_c 5.296
_cell_angle_alpha 90.00
_cell_angle_beta 90.00
_cell_angle_gamma 90.00
loop_
_space_group_symop_operation_xyz
'x,y,z'
loop_
_atom_site_label
_atom_site_type_symbol
_atom_site_fract_x
_atom_site_fract_y
_atom_site_fract_z
Ru1 Ru 0.000 0.000 0.000
Ga1 Ga 0.500 0.500 0.500
Te1 Te 0.000 0.500 0.000
Te2 Te 0.000 0.000 0.500
Sb1 Sb 0.500 0.000 0.000
# **Size of the total moment**: 0.000 μB/atom
# **Formation energy without anion corrections**: 0.459 eV/atom
# **Total DFT energy (no corrections)**: -22.83 eV/cell
# **N(E_F)**: 1.106 states/eV per atom
# **SG**: No. 123